Here is crystalline HfCr2InO6 at its relaxed geometry from Alexandria via LeMat-Bulk. Energies are from PBE with a Hubbard U.

Cell lengths 5.275, 5.374, 5.643 Å; angles 63.32, 89.77, 61.20 degrees
Space group P1 (No. 1)
Inequivalent atoms, fractional coordinates:
Hf 0.000 0.000 0.000
Cr 0.206 0.580 0.618
Cr 0.699 0.599 0.090
In 0.483 0.025 0.471
O 0.075 0.513 0.301
O 0.307 0.787 0.814
O 0.409 0.773 0.303
O 0.631 0.054 0.823
O 0.788 0.137 0.278
O 0.916 0.467 0.823

Total energy, eV per formula unit: -79.6
Magnetization, μB per formula unit: 7.0